A geometry-optimized La2MgZr structure, computed with PBE.

Summary:
Symmetry: Imm2 (44)
Energy of formation in eV/atom: 0.0928

Lattice parameters (Å, degrees): 6.6535 6.6535 6.6535 148.07 129.76 60.77
Last column: nearest neighbours and their distance in Å.
Atoms (fractional coordinates):
La 0.0000 0.0000 0.0000  4 Zr 3.39, 2 Mg 3.41, 4 La 3.64-3.66
La 0.7254 0.2254 0.5000  4 Mg 3.38, 2 Zr 3.52, 4 La 3.64-3.66
Mg 0.2506 0.7506 0.5000  2 Zr 3.05, 6 La 3.38-3.41
Zr 0.4633 0.4633 0.0000  2 Mg 3.05, 4 La 3.39

***

A geometry-optimized BePtPb2 structure, computed with PBE.

Summary:
Symmetry: P4mm (99)
Energy of formation in eV/atom: -0.1325

Lattice parameters (Å, degrees): 3.2008 3.2008 8.5169 90.00 90.00 90.00
Last column: nearest neighbours and their distance in Å.
Atoms (fractional coordinates):
Be 0.0000 0.0000 0.0000  4 Pt 2.36
Pt 0.5000 0.5000 0.9199  4 Be 2.36
Pb 0.0000 0.0000 0.6555  1 Be 2.93, 4 Pt 3.19, 4 Pb 3.20
Pb 0.5000 0.5000 0.2670  1 Pt 2.96, 4 Pb 3.20, 4 Be 3.21

***

A geometry-optimized ScMn2Si structure, computed with PBE.

Summary:
Total DFT energy (no corrections) in eV per atom: -7.64
Symmetry: F-43m (216)

Lattice parameters (Å, degrees): 4.2977 4.2977 4.2977 60.00 60.00 60.00
Last column: nearest neighbours and their distance in Å.
Atoms (fractional coordinates):
Sc 0.0000 0.0000 0.0000  4 Mn 2.63, 4 Si 2.63
Mn 0.5000 0.5000 0.5000  4 Mn 2.63, 4 Si 2.63
Mn 0.7500 0.7500 0.7500  4 Mn 2.63, 4 Sc 2.63
Si 0.2500 0.2500 0.2500  4 Mn 2.63, 4 Sc 2.63

***

A geometry-optimized Pm7NdDy12 structure, computed with PBE.

Summary:
Distance to the lowest polymorph of the same formula in meV per atom: 354
Symmetry: Im-3 (204)
Energy of formation in eV/atom: 0.6350

Lattice parameters (Å, degrees): 9.8037 9.8037 9.8037 109.47 109.47 109.47
Last column: nearest neighbours and their distance in Å.
Atoms (fractional coordinates):
Pm 0.0000 0.0000 0.5000  6 Dy 2.83
Pm 0.0000 0.5000 0.0000  6 Dy 2.83
Pm 0.0000 0.5000 0.5000  12 Dy 3.99-4.01
Pm 0.5000 0.0000 0.0000  6 Dy 2.83
Pm 0.5000 0.0000 0.5000  12 Dy 3.99-4.01
Pm 0.5000 0.5000 0.0000  12 Dy 3.99-4.01
Pm 0.5000 0.5000 0.5000  6 Dy 2.83
Nd 0.0000 0.0000 0.0000  12 Dy 4.01
Dy 0.0006 0.2510 0.7497  2 Pm 2.83
Dy 0.2503 0.5013 0.2510  2 Pm 2.83
Dy 0.2503 0.9994 0.7490  2 Pm 2.83
Dy 0.2510 0.2503 0.5013  2 Pm 2.83
Dy 0.2510 0.7497 0.0006  2 Pm 2.83
Dy 0.4987 0.7490 0.7497  2 Pm 2.83
Dy 0.5013 0.2510 0.2503  2 Pm 2.83
Dy 0.7490 0.2503 0.9994  2 Pm 2.83
Dy 0.7490 0.7497 0.4987  2 Pm 2.83
Dy 0.7497 0.0006 0.2510  2 Pm 2.83
Dy 0.7497 0.4987 0.7490  2 Pm 2.83
Dy 0.9994 0.7490 0.2503  2 Pm 2.83

***

A geometry-optimized Ac2Ce3Au4 structure, computed with PBE.

Summary:
Symmetry: P2_1/c (14)
Energy of formation in eV/atom: -0.6053

Lattice parameters (Å, degrees): 8.2342 8.1326 8.2333 90.00 109.78 90.00
Last column: nearest neighbours and their distance in Å.
Atoms (fractional coordinates):
Ac 0.1892 0.1743 0.0708  7 Au 3.31-3.65
Ac 0.1892 0.3257 0.5708  7 Au 3.31-3.65
Ac 0.8108 0.6743 0.4292  7 Au 3.31-3.65
Ac 0.8108 0.8257 0.9292  7 Au 3.31-3.65
Ce 0.2485 0.6575 0.2483  6 Au 3.05-3.15
Ce 0.2485 0.8425 0.7483  6 Au 3.05-3.15
Ce 0.5000 0.0000 0.5000  6 Au 3.17-3.24
Ce 0.5000 0.5000 0.0000  6 Au 3.17-3.24
Ce 0.7515 0.1575 0.2517  6 Au 3.05-3.15
Ce 0.7515 0.3425 0.7517  6 Au 3.05-3.15
Au 0.0852 0.5457 0.8600  4 Ce 3.05-3.24, 1 Au 3.17, 2 Ac 3.31-3.39
Au 0.0852 0.9543 0.3600  4 Ce 3.05-3.24, 1 Au 3.17, 2 Ac 3.31-3.39
Au 0.4975 0.6327 0.6286  1 Au 3.03, 5 Ce 3.07-3.24, 1 Ac 3.31
Au 0.4975 0.8673 0.1286  1 Au 3.03, 5 Ce 3.07-3.24, 1 Ac 3.31
Au 0.5025 0.1327 0.8714  1 Au 3.03, 5 Ce 3.07-3.24, 1 Ac 3.31
Au 0.5025 0.3673 0.3714  1 Au 3.03, 5 Ce 3.07-3.24, 1 Ac 3.31
Au 0.9148 0.0457 0.6400  4 Ce 3.05-3.24, 1 Au 3.17, 2 Ac 3.31-3.39
Au 0.9148 0.4543 0.1400  4 Ce 3.05-3.24, 1 Au 3.17, 2 Ac 3.31-3.39

***

A geometry-optimized Th3Ni9Ru2 structure, computed with PBE.

Summary:
Symmetry: Immm (71)
Energy of formation in eV/atom: -0.2768

Lattice parameters (Å, degrees): 7.7167 7.7167 7.7167 148.44 110.91 77.94
Last column: nearest neighbours and their distance in Å.
Atoms (fractional coordinates):
Th 0.0000 0.0000 0.0000  4 Ni 2.79
Th 0.3012 0.3012 0.0000  2 Ru 2.89, 14 Ni 2.92-3.23
Th 0.6988 0.6988 0.0000  2 Ru 2.89, 14 Ni 2.92-3.23
Ni 0.0251 0.6678 0.3572  4 Ni 2.46-2.65, 1 Ru 2.50
Ni 0.1530 0.8799 0.2730  4 Ni 2.45-2.65, 2 Ru 2.57
Ni 0.3106 0.6678 0.6428  4 Ni 2.46-2.65, 1 Ru 2.50
Ni 0.3931 0.1201 0.2730  4 Ni 2.45-2.65, 2 Ru 2.57
Ni 0.5000 0.0000 0.5000  4 Ni 2.45, 4 Ru 2.66
Ni 0.6069 0.8799 0.7270  4 Ni 2.45-2.65, 2 Ru 2.57
Ni 0.6894 0.3322 0.3572  4 Ni 2.46-2.65, 1 Ru 2.50
Ni 0.8470 0.1201 0.7270  4 Ni 2.45-2.65, 2 Ru 2.57
Ni 0.9749 0.3322 0.6428  4 Ni 2.46-2.65, 1 Ru 2.50
Ru 0.3126 0.5000 0.8126  8 Ni 2.50-2.66
Ru 0.6874 0.5000 0.1874  8 Ni 2.50-2.66

***

A geometry-optimized YSc2Al9 structure, computed with PBE.

Summary:
Distance to the lowest polymorph of the same formula in meV per atom: 105
Symmetry: R-3m (166)
Energy of formation in eV/atom: -0.3334

Lattice parameters (Å, degrees): 9.2183 9.2183 9.2183 34.37 34.37 34.37
Last column: nearest neighbours and their distance in Å.
Atoms (fractional coordinates):
Y 0.0000 0.0000 0.0000  18 Al 3.15-3.52
Sc 0.1434 0.1434 0.1434  12 Al 3.11-3.20, 3 Sc 3.37
Sc 0.8566 0.8566 0.8566  12 Al 3.11-3.20, 3 Sc 3.37
Al 0.0781 0.5892 0.5892  7 Al 2.65-2.78
Al 0.3353 0.3353 0.3353  6 Al 2.70-2.75
Al 0.4108 0.4108 0.9219  7 Al 2.65-2.78
Al 0.4108 0.9219 0.4108  7 Al 2.65-2.78
Al 0.5000 0.5000 0.5000  6 Al 2.65
Al 0.5892 0.0781 0.5892  7 Al 2.65-2.78
Al 0.5892 0.5892 0.0781  7 Al 2.65-2.78
Al 0.6647 0.6647 0.6647  6 Al 2.70-2.75
Al 0.9219 0.4108 0.4108  7 Al 2.65-2.78

***

A geometry-optimized Ho2Tm3Cd2 structure, computed with PBE.

Summary:
Distance to the lowest polymorph of the same formula in meV per atom: 0
Symmetry: R-3m (166)
Energy of formation in eV/atom: -0.1459

Lattice parameters (Å, degrees): 8.4495 8.4495 8.4495 36.66 36.66 36.66
Last column: nearest neighbours and their distance in Å.
Atoms (fractional coordinates):
Ho 0.0745 0.0745 0.0745  4 Cd 3.26, 3 Tm 3.42, 1 Ho 3.52
Ho 0.9255 0.9255 0.9255  4 Cd 3.26, 3 Tm 3.42, 1 Ho 3.52
Tm 0.3442 0.3442 0.3442  3 Tm 3.11, 1 Cd 3.12, 3 Ho 3.42
Tm 0.5000 0.5000 0.5000  6 Cd 3.25
Tm 0.6558 0.6558 0.6558  3 Tm 3.11, 1 Cd 3.12, 3 Ho 3.42
Cd 0.2123 0.2123 0.2123  4 Tm 3.12-3.25, 4 Ho 3.26
Cd 0.7877 0.7877 0.7877  4 Tm 3.12-3.25, 4 Ho 3.26

***

A geometry-optimized SrEuTi4O12 structure, computed with PBE.

Summary:
Total DFT energy (no corrections) in eV per atom: -8.31
Symmetry: P4/mmm (123)

Lattice parameters (Å, degrees): 5.5049 5.5049 7.7828 90.00 90.00 90.00
Last column: nearest neighbours and their distance in Å.
Atoms (fractional coordinates):
Sr 0.0000 0.0000 0.0000  12 O 2.75-2.81
Eu 0.5000 0.5000 0.5000  12 O 2.69-2.75
Ti 0.0000 0.5000 0.2494  6 O 1.94-1.95
Ti 0.0000 0.5000 0.7506  6 O 1.94-1.95
Ti 0.5000 0.0000 0.2494  6 O 1.94-1.95
Ti 0.5000 0.0000 0.7506  6 O 1.94-1.95
O 0.0000 0.5000 0.0000  2 Ti 1.94
O 0.0000 0.5000 0.5000  2 Ti 1.95
O 0.2535 0.2535 0.2573  2 Ti 1.95
O 0.2535 0.2535 0.7427  2 Ti 1.95
O 0.2535 0.7465 0.2573  2 Ti 1.95
O 0.2535 0.7465 0.7427  2 Ti 1.95
O 0.5000 0.0000 0.0000  2 Ti 1.94
O 0.5000 0.0000 0.5000  2 Ti 1.95
O 0.7465 0.2535 0.2573  2 Ti 1.95
O 0.7465 0.2535 0.7427  2 Ti 1.95
O 0.7465 0.7465 0.2573  2 Ti 1.95
O 0.7465 0.7465 0.7427  2 Ti 1.95

***

A geometry-optimized Be2CdTeO structure, computed with PBE.

Summary:
Total DFT energy (no corrections) in eV per atom: -3.29
Symmetry: P4/mmm (123)

Lattice parameters (Å, degrees): 3.8623 3.8623 5.7330 90.00 90.00 90.00
Last column: nearest neighbours and their distance in Å.
Atoms (fractional coordinates):
Be 0.0000 0.5000 0.0000  2 O 1.93
Be 0.5000 0.0000 0.0000  2 O 1.93
Cd 0.0000 0.0000 0.5000  4 Te 2.73, 2 O 2.87
Te 0.5000 0.5000 0.5000  4 Cd 2.73
O 0.0000 0.0000 0.0000  4 Be 1.93

***

A geometry-optimized LiTbGa2Pd4 structure, computed with PBE.

Summary:
Symmetry: R-3m (166)
Energy of formation in eV/atom: -0.7434

Lattice parameters (Å, degrees): 8.5236 8.5236 8.5236 29.46 29.46 29.46
Last column: nearest neighbours and their distance in Å.
Atoms (fractional coordinates):
Li 0.0000 0.0000 0.0000  8 Pd 2.47-2.66
Tb 0.5000 0.5000 0.5000  8 Pd 2.97-3.17
Ga 0.2611 0.2611 0.2611  7 Pd 2.60-2.67
Ga 0.7389 0.7389 0.7389  7 Pd 2.60-2.67
Pd 0.1011 0.1011 0.1011  1 Li 2.47, 3 Ga 2.60
Pd 0.3704 0.3704 0.3704  4 Ga 2.65-2.67, 3 Li 2.66, 3 Pd 2.95
Pd 0.6296 0.6296 0.6296  4 Ga 2.65-2.67, 3 Li 2.66, 3 Pd 2.95
Pd 0.8989 0.8989 0.8989  1 Li 2.47, 3 Ga 2.60

***

A geometry-optimized Ca2PmAu structure, computed with PBE.

Summary:
Distance to the lowest polymorph of the same formula in meV per atom: 117
Symmetry: R3m (160)
Energy of formation in eV/atom: -0.2733

Lattice parameters (Å, degrees): 10.5313 10.5313 10.5313 21.05 21.05 21.05
Last column: nearest neighbours and their distance in Å.
Atoms (fractional coordinates):
Ca 0.0000 0.0000 0.0000  3 Au 3.00
Ca 0.2032 0.2032 0.2032  3 Au 2.99
Pm 0.4356 0.4356 0.4356  6 Ca 3.83-3.86, 6 Pm 3.85
Au 0.6015 0.6015 0.6015  6 Ca 2.99-3.00